Material: LiReTe2
Method: DFT, PBE-GGA
State: optimized geometry

Results
The calculation puts the total energy at -4.823 eV/atom. The symmetry is No. 10. Its energy above the most stable polymorph in this dataset is 307 meV per atom. The raw formation energy comes out at 0.338 eV per atom.

Cell: 3.1071 4.1006 7.1399 Å, 90.00 90.82 90.00°
Sites, in units of the cell vectors:
Li 0.0000 0.0000 0.0000
Re 0.5000 0.0000 0.5000
Te 0.3760 0.5000 0.2632
Te 0.6240 0.5000 0.7368

=====

Material: Dy2IrI3
Method: DFT, PBE-GGA
State: optimized geometry

Results
The calculation puts the total energy at -4.782 eV/atom. The symmetry is No. 12. The raw formation energy comes out at -0.996 eV per atom.

Cell: 9.3991 9.3991 12.5880 Å, 121.79 121.79 26.43°
Sites, in units of the cell vectors:
Dy 0.0777 0.0777 0.4058
Dy 0.3710 0.3710 0.1985
Dy 0.6290 0.6290 0.8015
Dy 0.9223 0.9223 0.5942
Ir 0.0766 0.0766 0.6370
Ir 0.9234 0.9234 0.3630
I 0.1654 0.1654 0.0232
I 0.2982 0.2982 0.3964
I 0.4491 0.4491 0.7897
I 0.5509 0.5509 0.2103
I 0.7018 0.7018 0.6036
I 0.8346 0.8346 0.9768